The following is a DFT calculation (PBE-GGA) of Ac2InHg10 after structural relaxation.

Cell lengths 11.2186, 13.2076, 5.8817 Å; angles 90.00, 90.00, 90.00 degrees
With the nearest neighbours (Å) after each atom.
Space group Pbam (No. 55)
Asymmetric unit:
Ac 0.1255 0.1642 0.0000  10 Hg 3.43-3.64
In 0.0000 0.5000 0.5000  8 Hg 3.04-3.23
Hg 0.0279 0.8865 0.5000  5 Hg 2.95-3.13
Hg 0.0982 0.6880 0.2429  3 Hg 2.86-3.13, 1 In 3.11
Hg 0.1787 0.3081 0.5000  3 Hg 3.08-3.33, 1 In 3.23
Hg 0.2313 0.0284 0.5000  5 Hg 2.95-3.22, 1 In 3.04

Raw total energy   -1.117 eV/atom
Crystal system   orthorhombic